The following is a DFT calculation (GGA-PBEsol) of crystalline ZnNiP2Cl at its relaxed geometry.

Lattice parameters (Å, degrees): 4.0942 4.0942 6.1101 90.00 90.00 90.00
Positions (direct):
Zn1 0.0000 0.0000 0.0000
Ni1 0.5000 0.5000 0.5000
P1 0.0000 0.5000 0.5000
P2 0.5000 0.0000 0.5000
Cl1 0.5000 0.5000 0.0000

As for the raw formation energy: 444 meV/atom. The calculation puts the total DFT energy (no corrections) at -3.82 eV/atom.